No. 1
Below is an optimized crystal structure of Dy2SnH, with properties calculated at the PBE level.

The density is 8649 kg/m3. Its magnetization is 0.0 Bohr magnetons per cell. The value obtained for the energy above the most stable polymorph in this dataset is 0.255 eV per atom. The calculated volume comes out at 256 Å³ per cell.

The structure belongs to space group R-3m (No. 166, hexagonal axes); the cell edges are 3.5303, 3.5303 and 23.7319 Å and the angles 90.00°, 90.00° and 120.00°. The inequivalent atoms are Dy at (0.0000, 0.0000, 0.2251), Sn at (0.0000, 0.0000, 0.0000) and H at (0.0000, 0.0000, 0.5000).

No. 2
Below is an optimized crystal structure of Dy3SnH, with properties calculated at the PBE level.

The density is 9123 kg/m3. Its magnetization is 0.5 Bohr magnetons per cell. The value obtained for the energy above the most stable polymorph in this dataset is 0.000 eV per atom. The calculated volume comes out at 111 Å³ per cell.

The structure belongs to space group Pm-3m (No. 221); the cell edges are 4.7991, 4.7991 and 4.7991 Å and the angles 90.00°, 90.00° and 90.00°. The inequivalent atoms are Dy at (0.0000, 0.0000, 0.5000), Sn at (0.5000, 0.5000, 0.5000) and H at (0.0000, 0.0000, 0.0000).

No. 3
Below is an optimized crystal structure of Dy5Sn2H, with properties calculated at the PBE level.

Its raw total energy is -4.67 eV/atom. The density is 8264 kg/m3. Its magnetization is 0.0 Bohr magnetons per cell. The calculated volume comes out at 422 Å³ per cell.

The structure belongs to space group I4mm (No. 107); the cell edges are 6.9050, 6.9050 and 8.8580 Å and the angles 90.00°, 90.00° and 90.00°. The inequivalent atoms are Dy at (0.0000, 0.0000, 0.0000), Dy at (0.2504, 0.2504, 0.2452), Sn at (0.0000, 0.5000, 0.4959) and H at (0.0000, 0.0000, 0.2516).

No. 4
Below is an optimized crystal structure of Dy2SnH, with properties calculated at the PBE level.

The density is 8566 kg/m3. Its magnetization is 0.0 Bohr magnetons per cell. The value obtained for the energy above the most stable polymorph in this dataset is 0.000 eV per atom. The calculated volume comes out at 172 Å³ per cell.

The structure belongs to space group P4/nmm (No. 129, origin choice 2); the cell edges are 4.5072, 4.5072 and 8.4873 Å and the angles 90.00°, 90.00° and 90.00°. The inequivalent atoms are Dy at (0.2500, 0.2500, 0.1509), Dy at (0.2500, 0.7500, 0.5000), Sn at (0.2500, 0.2500, 0.7815) and H at (0.2500, 0.2500, 0.4193).

No. 5
Below is an optimized crystal structure of Dy4Sn2H, with properties calculated at the PBE level.

The density is 8508 kg/m3. Its magnetization is 0.7 Bohr magnetons per cell. The value obtained for the energy above the most stable polymorph in this dataset is 0.010 eV per atom. The calculated volume comes out at 347 Å³ per cell.

The structure belongs to space group I4/mmm (No. 139); the cell edges are 4.5518, 4.5518 and 16.7375 Å and the angles 90.00°, 90.00° and 90.00°. The inequivalent atoms are Dy at (0.0000, 0.0000, 0.1767), Dy at (0.0000, 0.5000, 0.0000), Sn at (0.0000, 0.0000, 0.3626) and H at (0.0000, 0.0000, 0.0000).

No. 6
Below is an optimized crystal structure of Dy2SnH, with properties calculated at the PBE level.

The density is 8307 kg/m3. Its magnetization is 0.9 Bohr magnetons per cell. The value obtained for the energy above the most stable polymorph in this dataset is 0.042 eV per atom. The calculated volume comes out at 356 Å³ per cell.

The structure belongs to space group Immm (No. 71); the cell edges are 3.6964, 6.4210 and 14.9822 Å and the angles 90.00°, 90.00° and 90.00°. The inequivalent atoms are Dy at (0.0000, 0.0000, 0.1876), Dy at (0.0000, 0.2557, 0.5000), Sn at (0.0000, 0.5000, 0.1417) and H at (0.0000, 0.5000, 0.3939).